The following is a DFT calculation (PBE-GGA) of crystalline HoZnTc at its relaxed geometry.

The value obtained for the total DFT energy (no corrections) is -64.78 eV per cell. Its calculated formation energy is 0.008 eV/atom. The polymorph energy (0 for the lowest one) comes out at 282 meV per atom. As for the total moment: 0.0 μB per formula unit. The value obtained for the density of states at the Fermi level is 0.52 states/eV/atom.

The structure belongs to space group C2/m (No. 12); the cell edges are 8.467, 5.495 and 5.196 Å and the angles 90.00°, 105.48° and 90.00°. The inequivalent atoms are Ho at (0.154, 0.000, 0.424), Zn at (0.250, 0.250, 0.000) and Tc at (0.001, 0.500, 0.730).


The following is a DFT calculation (PBE-GGA) of crystalline Ho2ZnTc at its relaxed geometry.

The value obtained for the total DFT energy (no corrections) is -21.57 eV per cell. Its calculated formation energy is -0.194 eV/atom. As for the total moment: 0.0 μB per formula unit. The value obtained for the density of states at the Fermi level is 0.87 states/eV/atom.

The structure belongs to space group P4/mmm (No. 123); the cell edges are 3.491, 3.491 and 6.978 Å and the angles 90.00°, 90.00° and 90.00°. The inequivalent atoms are Ho at (0.000, 0.000, 0.232), Zn at (0.500, 0.500, 0.500) and Tc at (0.500, 0.500, 0.000).


The following is a DFT calculation (PBE-GGA) of crystalline HoZn11Tc at its relaxed geometry.

The value obtained for the total DFT energy (no corrections) is -61.17 eV per cell. Its calculated formation energy is -0.125 eV/atom. As for the total moment: 0.0 μB per formula unit. The value obtained for the density of states at the Fermi level is 0.47 states/eV/atom.

The structure belongs to space group C2/m (No. 12); the cell edges are 5.222, 13.038 and 6.561 Å and the angles 90.00°, 111.55° and 90.00°. The inequivalent atoms are Ho at (0.000, 0.000, 0.000), Zn at (0.000, 0.500, 0.500), Zn at (0.113, 0.389, 0.217), Zn at (0.157, 0.172, 0.357), Zn at (0.250, 0.250, 0.000) and Tc at (0.000, 0.000, 0.500).


The following is a DFT calculation (PBE-GGA) of crystalline Ho4Zn3Tc at its relaxed geometry.

The value obtained for the total DFT energy (no corrections) is -34.65 eV per cell. Its calculated formation energy is -0.269 eV/atom. As for the total moment: 0.0 μB per formula unit. The value obtained for the density of states at the Fermi level is 0.91 states/eV/atom.

The structure belongs to space group P4/mmm (No. 123); the cell edges are 3.513, 3.513 and 14.149 Å and the angles 90.00°, 90.00° and 90.00°. The inequivalent atoms are Ho at (0.000, 0.000, 0.114), Ho at (0.000, 0.000, 0.373), Zn at (0.500, 0.500, 0.245), Zn at (0.500, 0.500, 0.500) and Tc at (0.500, 0.500, 0.000).


The following is a DFT calculation (PBE-GGA) of crystalline Ho2ZnTc3 at its relaxed geometry.

The value obtained for the total DFT energy (no corrections) is -86.08 eV per cell. Its calculated formation energy is -0.252 eV/atom. As for the total moment: 0.0 μB per formula unit. The value obtained for the density of states at the Fermi level is 0.78 states/eV/atom.

The structure belongs to space group C2/m (No. 12); the cell edges are 9.137, 5.280 and 5.484 Å and the angles 90.00°, 123.78° and 90.00°. The inequivalent atoms are Ho at (0.121, 0.000, 0.364), Zn at (0.000, 0.500, 0.500), Tc at (0.000, 0.500, 0.000) and Tc at (0.250, 0.250, 0.000).


The following is a DFT calculation (PBE-GGA) of crystalline Ho5Zn4Tc at its relaxed geometry.

The value obtained for the total DFT energy (no corrections) is -41.17 eV per cell. Its calculated formation energy is -0.282 eV/atom. As for the total moment: 0.0 μB per formula unit. The value obtained for the density of states at the Fermi level is 1.12 states/eV/atom.

The structure belongs to space group P4/mmm (No. 123); the cell edges are 3.520, 3.520 and 17.716 Å and the angles 90.00°, 90.00° and 90.00°. The inequivalent atoms are Ho at (0.000, 0.000, 0.000), Ho at (0.000, 0.000, 0.202), Ho at (0.000, 0.000, 0.409), Zn at (0.500, 0.500, 0.101), Zn at (0.500, 0.500, 0.304) and Tc at (0.500, 0.500, 0.500).


The following is a DFT calculation (PBE-GGA) of crystalline Ho2Zn15Tc2 at its relaxed geometry.

The value obtained for the total DFT energy (no corrections) is -156.75 eV per cell. Its calculated formation energy is -0.171 eV/atom. As for the total moment: 0.0 μB per formula unit. The value obtained for the density of states at the Fermi level is 0.53 states/eV/atom.

The structure belongs to space group R-3m (No. 166, hexagonal axes); the cell edges are 8.9876, 8.9876 and 12.9727 Å and the angles 90.00°, 90.00° and 120.00°. The inequivalent atoms are Ho at (0.0000, 0.0000, 0.1612), Zn at (0.0000, 0.2921, 0.5000), Zn at (0.0000, 0.5000, 0.0000), Zn at (0.9999, 0.5000, 0.3489) and Tc at (0.0000, 0.0000, 0.4079).


The following is a DFT calculation (PBE-GGA) of crystalline Ho2ZnTc at its relaxed geometry.

The value obtained for the total DFT energy (no corrections) is -55.76 eV per cell. Its calculated formation energy is 0.552 eV/atom. As for the total moment: 1.1 μB per formula unit. The value obtained for the density of states at the Fermi level is 1.34 states/eV/atom.

The structure belongs to space group R-3m (No. 166, hexagonal axes); the cell edges are 3.1664, 3.1664 and 30.8516 Å and the angles 90.00°, 90.00° and 120.00°. The inequivalent atoms are Ho at (0.0000, 0.0000, 0.0864), Zn at (0.0000, 0.0000, 0.5000) and Tc at (0.0000, 0.0000, 0.0000).


The following is a DFT calculation (PBE-GGA) of crystalline HoZrZnTc at its relaxed geometry.

The value obtained for the total DFT energy (no corrections) is -102.36 eV per cell. Its calculated formation energy is -0.206 eV/atom. As for the total moment: 0.0 μB per formula unit. The value obtained for the density of states at the Fermi level is 1.02 states/eV/atom.

The structure belongs to space group F-43m (No. 216); the cell edges are 6.789, 6.789 and 6.789 Å and the angles 90.00°, 90.00° and 90.00°. The inequivalent atoms are Ho at (0.000, 0.000, 0.000), Zr at (0.000, 0.000, 0.500), Zn at (0.250, 0.250, 0.250) and Tc at (0.250, 0.250, 0.750).


The following is a DFT calculation (PBE-GGA) of crystalline HoZrTc at its relaxed geometry.

The value obtained for the total DFT energy (no corrections) is -47.85 eV per cell. Its calculated formation energy is -0.145 eV/atom. The polymorph energy (0 for the lowest one) comes out at 0 meV per atom. As for the total moment: 0.0 μB per formula unit. The value obtained for the density of states at the Fermi level is 0.66 states/eV/atom.

The structure belongs to space group I4mm (No. 107); the cell edges are 3.389, 3.389 and 11.658 Å and the angles 90.00°, 90.00° and 90.00°. The inequivalent atoms are Ho at (0.000, 0.000, 0.000), Zr at (0.000, 0.000, 0.274) and Tc at (0.000, 0.000, 0.655).


The following is a DFT calculation (PBE-GGA) of crystalline HoZrTc at its relaxed geometry.

The value obtained for the total DFT energy (no corrections) is -373.02 eV per cell. Its calculated formation energy is 0.059 eV/atom. The polymorph energy (0 for the lowest one) comes out at 204 meV per atom. As for the total moment: 0.0 μB per formula unit. The value obtained for the density of states at the Fermi level is 0.84 states/eV/atom.

The structure belongs to space group Fdd2 (No. 43); the cell edges are 11.094, 12.461 and 8.485 Å and the angles 90.00°, 90.00° and 90.00°. The inequivalent atoms are Ho at (0.105, 0.144, 0.000), Zr at (0.030, 0.129, 0.404) and Tc at (0.056, 0.228, 0.686).


The following is a DFT calculation (PBE-GGA) of crystalline Ho2ZrTc at its relaxed geometry.

The value obtained for the total DFT energy (no corrections) is -79.84 eV per cell. Its calculated formation energy is 0.364 eV/atom. As for the total moment: 0.0 μB per formula unit. The value obtained for the density of states at the Fermi level is 1.24 states/eV/atom.

The structure belongs to space group R-3m (No. 166, hexagonal axes); the cell edges are 3.2617, 3.2617 and 31.8196 Å and the angles 90.00°, 90.00° and 120.00°. The inequivalent atoms are Ho at (0.0000, 0.0000, 0.1009), Zr at (0.0000, 0.0000, 0.0000) and Tc at (0.0000, 0.0000, 0.5000).